No. 1
VASP calculation (PBE-GGA) on a relaxed DyLuTeC crystal.

## Properties
Symmetry ... P-3m1, No. 164

Geometry as CIF:
```
data_DyLuTeC
_space_group_name_H-M_alt 'P 1'
_space_group_IT_number 1
_cell_length_a 3.787
_cell_length_b 3.787
_cell_length_c 13.868
_cell_angle_alpha 90.00
_cell_angle_beta 90.00
_cell_angle_gamma 120.00
loop_
_space_group_symop_operation_xyz
'x,y,z'
loop_
_atom_site_label
_atom_site_type_symbol
_atom_site_fract_x
_atom_site_fract_y
_atom_site_fract_z
Dy1 Dy 0.333 0.667 0.405
Dy2 Dy 0.667 0.333 0.595
Lu1 Lu 0.333 0.667 0.090
Lu2 Lu 0.667 0.333 0.910
Te1 Te 0.333 0.667 0.755
Te2 Te 0.667 0.333 0.245
C1 C 0.000 0.000 0.000
C2 C 0.000 0.000 0.500
```

No. 2
VASP calculation (PBE-GGA) on a relaxed DyLuTeC crystal.

## Properties
Symmetry ... P6_3mc, No. 186

Geometry as CIF:
```
data_DyLuTeC
_space_group_name_H-M_alt 'P 1'
_space_group_IT_number 1
_cell_length_a 3.788
_cell_length_b 3.788
_cell_length_c 13.858
_cell_angle_alpha 90.00
_cell_angle_beta 90.00
_cell_angle_gamma 120.00
loop_
_space_group_symop_operation_xyz
'x,y,z'
loop_
_atom_site_label
_atom_site_type_symbol
_atom_site_fract_x
_atom_site_fract_y
_atom_site_fract_z
Dy1 Dy 0.333 0.667 0.000
Dy2 Dy 0.667 0.333 0.500
Lu1 Lu 0.333 0.667 0.315
Lu2 Lu 0.667 0.333 0.815
Te1 Te 0.333 0.667 0.660
Te2 Te 0.667 0.333 0.160
C1 C 0.000 0.000 0.405
C2 C 0.000 0.000 0.905
```

| no. | energy (eV per atom) | volume (Å³ per cell) |
| --- | --- | --- |
| 1 | -6.2509 | 172 |
| 2 | -6.2505 | 172 |